# CeUTi (PBE-GGA, relaxed)
data_CeUTi
_chemical_formula_sum 'Ce4 U4 Ti4'
_cell_length_a 5.569
_cell_length_b 5.569
_cell_length_c 9.129
_cell_angle_alpha 90.00
_cell_angle_beta 90.00
_cell_angle_gamma 113.00
_space_group_name_H-M_alt 'P 1'
_space_group_IT_number 1
loop_
_space_group_symop_operation_xyz
'x,y,z'
loop_
_atom_site_label
_atom_site_type_symbol
_atom_site_fract_x
_atom_site_fract_y
_atom_site_fract_z
Ce1 Ce 0.098 0.402 0.250
Ce2 Ce 0.402 0.098 0.750
Ce3 Ce 0.598 0.902 0.250
Ce4 Ce 0.902 0.598 0.750
U1 U 0.057 0.943 0.370
U2 U 0.443 0.557 0.870
U3 U 0.557 0.443 0.130
U4 U 0.943 0.057 0.630
Ti1 Ti 0.150 0.850 0.039
Ti2 Ti 0.350 0.650 0.539
Ti3 Ti 0.650 0.350 0.461
Ti4 Ti 0.850 0.150 0.961
# ΔE_f, meV per atom: 309
# N(E_F), states/eV/atom: 2.63
# Crystal system: orthorhombic
# V, Å³/atom: 21.71
# M_tot, μB/f.u.: 0.00